1.
Computed, not measured: crystalline BaMnCrS2 at its relaxed geometry at the GGA-PBE level of DFT.

The formation energy without anion corrections is 1.16 eV per atom.

The space group is P4/mmm (No. 123) and the conventional cell measures 5.821, 5.821 and 5.844 Å, with angles of 90.00, 90.00 and 90.00 degrees. The distinct sites, in fractional coordinates, are Ba at (0.000, 0.000, 0.000), Mn at (0.500, 0.500, 0.500), Cr at (0.000, 0.000, 0.500) and S at (0.000, 0.500, 0.000).

---

2.
Computed, not measured: crystalline Er4Sb3N at its relaxed geometry at the GGA-PBE level of DFT.

The formation energy without anion corrections is -0.96 eV per atom.

The space group is Pmn2_1 (No. 31) and the conventional cell measures 9.545, 8.463 and 6.119 Å, with angles of 90.00, 90.00 and 90.00 degrees. The distinct sites, in fractional coordinates, are Er at (0.000, 0.090, 0.000), Er at (0.000, 0.819, 0.566), Er at (0.206, 0.695, 0.001), Sb at (0.000, 0.158, 0.490), Sb at (0.232, 0.337, 0.990) and N at (0.000, 0.822, 0.930).

---

3.
Computed, not measured: crystalline ReBiP2Ru at its relaxed geometry at the GGA-PBE level of DFT.

The formation energy is 1.10 eV per atom.

The space group is P4/mmm (No. 123) and the conventional cell measures 4.472, 4.472 and 5.811 Å, with angles of 90.00, 90.00 and 90.00 degrees. The distinct sites, in fractional coordinates, are Re at (0.000, 0.000, 0.000), Bi at (0.000, 0.000, 0.500), P at (0.000, 0.500, 0.000) and Ru at (0.500, 0.500, 0.500).